NbTe2PtN at its PBEsol-relaxed geometry, computed with meta-GGA SCAN.

Cell and atoms, written as POSCAR:
```
NbTe2PtN
1.0
-0.195 1.263 3.584
5.047 -1.656 0.858
1.845 4.798 -1.590
Nb Te Pt N
1 2 1 1
Direct
0.000 0.000 0.000 Nb
0.000 0.000 0.500 Te
0.000 0.500 0.000 Te
0.500 0.500 0.500 Pt
0.500 0.000 0.000 N
```

spin magnetization = 0.000 μB per cell
formation energy without anion corrections = 0.53 eV/atom
space group = P4/mmm, No. 123